Entry from the Alexandria database: an optimized crystal structure of Ce3ErGe4 (GGA-PBE).

Geometry as POSCAR:
```
Ce3ErGe4
1.0
-2.0482 3.2270 7.9320
2.0482 -3.2270 7.9320
2.0482 3.2270 -7.9320
Ce Er Ge
3 1 4
Direct
0.0000 0.0000 0.0000
0.3043 0.8043 0.5000
0.6957 0.1957 0.5000
0.5000 0.5000 0.0000
0.0655 0.3702 0.6953
0.3251 0.6298 0.6953
0.6749 0.3702 0.3047
0.9345 0.6298 0.3047
```

Results
Density ... 6954 kg/m3
Calculated total energy ... -5.7274 eV per atom
D(E_F) ... 14.8 states/eV per cell
Volume ... 209.7 Å³ per cell
Crystal system ... orthorhombic